This record from the Alexandria database describes CoSiHg2 after structural relaxation. The functional is PBEsol.

Cell and atoms, written as CIF:
```
data_CoSiHg2
_symmetry_space_group_name_H-M 'P 4/m m m'
_symmetry_Int_Tables_number 123
_symmetry_space_group_name_Hall '-P 4 2'
_cell_length_a 2.8818
_cell_length_b 2.8818
_cell_length_c 8.2751
_cell_angle_alpha 90.00
_cell_angle_beta 90.00
_cell_angle_gamma 90.00
loop_
_atom_site_label
_atom_site_type_symbol
_atom_site_fract_x
_atom_site_fract_y
_atom_site_fract_z
Co1 Co 0.0000 0.0000 0.0000
Si1 Si 0.0000 0.0000 0.5000
Hg1 Hg 0.5000 0.5000 0.2194
```

Computed properties:
- total energy (hartree per atom) = -0.11565